No. 1
Below is crystalline Tb2CuSn6 at its relaxed geometry, with properties calculated at the PBE level.

Cell: 4.4441 22.5511 4.5089 Å, 90.00 90.00 90.00°
Last column: nearest neighbours and their distance in Å.
Space group Cmmm (No. 65)
Inequivalent atoms, fractional coordinates:
Tb  0.0000  0.1774  0.0000  10 Sn 3.23-3.48
Cu  0.0000  0.5000  0.5000  8 Sn 2.75-2.77
Sn  0.0000  0.0717  0.5000  2 Cu 2.75
Sn  0.0000  0.2950  0.5000  2 Sn 3.01, 4 Tb 3.23
Sn  0.0000  0.4290  0.0000  2 Cu 2.77


No. 2
Below is crystalline TbCuSnTe3 at its relaxed geometry, with properties calculated at the PBE level.

Cell: 11.2068 4.2748 14.4717 Å, 90.00 90.00 90.00°
Last column: nearest neighbours and their distance in Å.
Space group Pnma (No. 62)
Inequivalent atoms, fractional coordinates:
Tb  0.0247  0.2500  0.2414  6 Te 3.06-3.13, 2 Cu 3.40
Cu  0.2399  0.2500  0.7251  4 Te 2.62-2.73
Sn  0.2132  0.7500  0.5082  7 Te 3.20-3.38
Te  0.0466  0.2500  0.6107  1 Cu 2.73
Te  0.0916  0.7500  0.0991  1 Cu 2.62
Te  0.2314  0.7500  0.8378  2 Cu 2.69


No. 3
Below is crystalline TbCuSnTe3 at its relaxed geometry, with properties calculated at the PBE level.

Cell: 19.7256 4.2857 8.6330 Å, 90.00 102.60 90.00°
Last column: nearest neighbours and their distance in Å.
Space group C2/m (No. 12)
Inequivalent atoms, fractional coordinates:
Tb  0.1598  0.0000  0.0831  6 Te 3.05-3.14
Cu  0.0456  0.5000  0.2076  4 Te 2.62-2.86
Sn  0.1216  0.0000  0.5658  6 Te 3.17-3.25
Te  0.0000  0.0000  0.0000  4 Cu 2.81, 2 Tb 3.08
Te  0.0000  0.5000  0.5000  2 Cu 2.86, 4 Sn 3.17
Te  0.1769  0.5000  0.8403  3 Tb 3.07-3.14, 2 Sn 3.20
Te  0.1782  0.5000  0.3403  1 Cu 2.62


No. 4
Below is crystalline TbCuSnTe3 at its relaxed geometry, with properties calculated at the PBE level.

Cell: 14.4834 4.2659 11.6683 Å, 90.00 90.00 90.00°
Last column: nearest neighbours and their distance in Å.
Space group Pnma (No. 62)
Inequivalent atoms, fractional coordinates:
Tb  0.0076  0.2500  0.1735  6 Te 3.03-3.12
Cu  0.0070  0.7500  0.4188  4 Te 2.68-2.74, 2 Cu 2.86
Sn  0.2111  0.2500  0.4495  6 Te 3.21-3.29, 1 Cu 3.51
Te  0.1089  0.7500  0.6106  3 Cu 2.68-2.74
Te  0.1161  0.2500  0.9425  3 Tb 3.10-3.12, 2 Sn 3.29
Te  0.1432  0.7500  0.2605  1 Cu 2.70


No. 5
Below is crystalline TbCuSnTe3 at its relaxed geometry, with properties calculated at the PBE level.

Cell: 4.2533 14.5320 11.1867 Å, 90.00 90.00 90.00°
Last column: nearest neighbours and their distance in Å.
Space group Cmcm (No. 63)
Inequivalent atoms, fractional coordinates:
Tb  0.0000  0.0000  0.0000  6 Te 3.06-3.10
Cu  0.0000  0.4703  0.2500  4 Te 2.66-2.71
Sn  0.0000  0.2359  0.7500  6 Te 3.23-3.36
Te  0.0000  0.0855  0.2500  2 Cu 2.71
Te  0.0000  0.3539  0.0666  1 Cu 2.66


No. 6
Below is crystalline TbCuSnTe3 at its relaxed geometry, with properties calculated at the PBE level.

Cell: 8.8961 4.4314 17.2766 Å, 90.00 90.00 90.00°
Last column: nearest neighbours and their distance in Å.
Space group Pnma (No. 62)
Inequivalent atoms, fractional coordinates:
Tb  0.2500  0.2500  0.0376  7 Te 3.09-3.34
Cu  0.1246  0.2500  0.3715  4 Te 2.60-2.71
Sn  0.0804  0.2500  0.7770  7 Te 3.16-3.53
Te  0.0195  0.2500  0.5970  2 Cu 2.62
Te  0.1113  0.7500  0.9355  1 Cu 2.60
Te  0.1884  0.2500  0.2184  1 Cu 2.71


No. 7
Below is crystalline TbCuSnTe3 at its relaxed geometry, with properties calculated at the PBE level.

Cell: 12.3583 4.3771 12.3414 Å, 90.00 90.00 90.00°
Last column: nearest neighbours and their distance in Å.
Space group Pnma (No. 62)
Inequivalent atoms, fractional coordinates:
Tb  0.0329  0.2500  0.1918  7 Te 3.11-3.39
Cu  0.2322  0.7500  0.2967  4 Te 2.61-2.71
Sn  0.2033  0.2500  0.4686  2 Cu 3.07, 4 Te 3.26-3.29
Te  0.0344  0.7500  0.3709  1 Cu 2.61
Te  0.1002  0.2500  0.9387  1 Cu 2.71
Te  0.2139  0.7500  0.6879  2 Cu 2.65


No. 8
Below is crystalline TbCuSnTe3 at its relaxed geometry, with properties calculated at the PBE level.

Cell: 8.3628 4.2568 10.4890 Å, 90.00 105.40 90.00°
Last column: nearest neighbours and their distance in Å.
Space group P2_1/m (No. 11)
Inequivalent atoms, fractional coordinates:
Tb  0.1957  0.2500  0.1688  6 Te 3.03-3.14
Cu  0.4245  0.7500  0.4149  4 Te 2.67-2.74, 2 Cu 2.85
Sn  0.2534  0.7500  0.7008  6 Te 3.24-3.26
Te  0.0799  0.2500  0.8586  3 Tb 3.09-3.14, 2 Sn 3.26
Te  0.2447  0.2500  0.4659  3 Cu 2.72-2.74, 1 Tb 3.03
Te  0.4570  0.7500  0.1688  1 Cu 2.67


Mass density, record by record: 8.0, 6.9, 6.8, 6.7, 7.0, 7.1, 7.2, 6.7 g/cm3
E_tot, record by record: -0.33269, -0.31581, -0.31135, -0.31497, -0.31550, -0.31262, -0.31362, -0.31421 Ry/atom